## Li2TaPt (PBE-GGA)

Data for an optimized crystal structure of Li2TaPt.

E_form = -0.198 eV per atom
Total energy = -5.628 eV per atom
SG = No. 6
Excess energy over the best structure of this formula in the dataset = 0.0615 eV per atom
Density of states at the Fermi level = 1.7 states/eV per cell

Cell lengths 2.804, 4.499, 5.089 Å; angles 90.00, 90.07, 90.00 degrees
Element x y z (fractional)
Li: 0.000 0.000 0.000
Li: 0.499 0.500 0.890
Ta: 0.501 0.000 0.479
Pt: 0.001 0.500 0.367